# NaZn4Au6, relaxed, DFT GGA-PBE
# energy of formation	-0.10	eV/atom
# E	-27.2	eV per cell
# D(E_F)	0.28	states/eV/atom
data_NaZn4Au6
_cell_length_a 6.917
_cell_length_b 6.917
_cell_length_c 6.917
_cell_angle_alpha 84.31
_cell_angle_beta 123.34
_cell_angle_gamma 123.34
_symmetry_space_group_name_H-M 'P 1'
_symmetry_Int_Tables_number 1
_symmetry_space_group_name_Hall 'P 1'
loop_
_atom_site_label
_atom_site_type_symbol
_atom_site_fract_x
_atom_site_fract_y
_atom_site_fract_z
Au1 Au 0.500 0.500 0.000
Au2 Au 0.500 0.000 0.500
Au3 Au 0.572 0.116 0.116
Au4 Au 0.000 0.884 0.456
Au5 Au 0.428 0.544 0.544
Au6 Au 0.000 0.456 0.884
Zn1 Zn 0.000 0.570 0.224
Zn2 Zn 0.654 0.430 0.430
Zn3 Zn 0.346 0.776 0.776
Zn4 Zn 0.000 0.224 0.570
Na1 Na 0.000 0.000 0.000


# Na2Zn2Au3, relaxed, DFT GGA-PBE
# energy of formation	-0.25	eV/atom
# energy above the lowest structure with this stoichiometry	16.2	meV per atom
# E	-16.8	eV per cell
# D(E_F)	0.31	states/eV/atom
data_Na2Zn2Au3
_cell_length_a 4.516
_cell_length_b 5.669
_cell_length_c 7.146
_cell_angle_alpha 72.08
_cell_angle_beta 108.42
_cell_angle_gamma 90.00
_symmetry_space_group_name_H-M 'P 1'
_symmetry_Int_Tables_number 1
_symmetry_space_group_name_Hall 'P 1'
loop_
_atom_site_label
_atom_site_type_symbol
_atom_site_fract_x
_atom_site_fract_y
_atom_site_fract_z
Na1 Na 0.141 0.450 0.282
Na2 Na 0.859 0.550 0.718
Zn1 Zn 0.393 0.028 0.787
Zn2 Zn 0.607 0.972 0.213
Au1 Au 0.217 0.898 0.434
Au2 Au 0.783 0.102 0.566
Au3 Au 0.000 0.000 0.000


# NaZnAu, relaxed, DFT GGA-PBE
# energy of formation	-0.25	eV/atom
# energy above the lowest structure with this stoichiometry	31.3	meV per atom
# E	-13.3	eV per cell
# D(E_F)	0.32	states/eV/atom
data_NaZnAu
_cell_length_a 4.578
_cell_length_b 6.180
_cell_length_c 5.390
_cell_angle_alpha 60.90
_cell_angle_beta 90.00
_cell_angle_gamma 89.99
_symmetry_space_group_name_H-M 'P 1'
_symmetry_Int_Tables_number 1
_symmetry_space_group_name_Hall 'P 1'
loop_
_atom_site_label
_atom_site_type_symbol
_atom_site_fract_x
_atom_site_fract_y
_atom_site_fract_z
Au1 Au 0.950 0.517 0.596
Au2 Au 0.450 0.659 0.229
Zn1 Zn 0.450 0.564 0.794
Zn2 Zn 0.950 0.612 0.031
Na1 Na 0.450 0.123 0.647
Na2 Na 0.949 0.053 0.177


# NaZn2Au, relaxed, DFT GGA-PBE
# energy of formation	0.00	eV/atom
# E	-7.1	eV per cell
# D(E_F)	0.29	states/eV/atom
data_NaZn2Au
_cell_length_a 6.535
_cell_length_b 6.535
_cell_length_c 6.535
_cell_angle_alpha 51.18
_cell_angle_beta 155.46
_cell_angle_gamma 135.83
_symmetry_space_group_name_H-M 'P 1'
_symmetry_Int_Tables_number 1
_symmetry_space_group_name_Hall 'P 1'
loop_
_atom_site_label
_atom_site_type_symbol
_atom_site_fract_x
_atom_site_fract_y
_atom_site_fract_z
Na1 Na 0.000 0.000 0.000
Zn1 Zn 0.000 0.723 0.723
Zn2 Zn 0.000 0.277 0.277
Au1 Au 0.000 0.500 0.500


# Na3Zn7Au2, relaxed, DFT GGA-PBE
# energy of formation	-0.15	eV/atom
# E	-21.2	eV per cell
# D(E_F)	0.22	states/eV/atom
data_Na3Zn7Au2
_cell_length_a 5.443
_cell_length_b 5.443
_cell_length_c 9.335
_cell_angle_alpha 73.05
_cell_angle_beta 73.05
_cell_angle_gamma 60.00
_symmetry_space_group_name_H-M 'P 1'
_symmetry_Int_Tables_number 1
_symmetry_space_group_name_Hall 'P 1'
loop_
_atom_site_label
_atom_site_type_symbol
_atom_site_fract_x
_atom_site_fract_y
_atom_site_fract_z
Zn1 Zn 0.916 0.416 0.252
Zn2 Zn 0.416 0.416 0.252
Zn3 Zn 0.500 0.500 0.500
Zn4 Zn 0.416 0.916 0.252
Zn5 Zn 0.084 0.584 0.748
Zn6 Zn 0.584 0.584 0.748
Zn7 Zn 0.584 0.084 0.748
Na1 Na 0.855 0.855 0.435
Na2 Na 0.000 0.000 0.000
Na3 Na 0.145 0.145 0.565
Au1 Au 0.667 0.667 0.999
Au2 Au 0.333 0.333 0.001


# Na2Zn5Au4, relaxed, DFT GGA-PBE
# energy of formation	-0.23	eV/atom
# E	-24.7	eV per cell
# D(E_F)	0.36	states/eV/atom
data_Na2Zn5Au4
_cell_length_a 5.473
_cell_length_b 5.424
_cell_length_c 8.961
_cell_angle_alpha 81.14
_cell_angle_beta 72.22
_cell_angle_gamma 59.70
_symmetry_space_group_name_H-M 'P 1'
_symmetry_Int_Tables_number 1
_symmetry_space_group_name_Hall 'P 1'
loop_
_atom_site_label
_atom_site_type_symbol
_atom_site_fract_x
_atom_site_fract_y
_atom_site_fract_z
Au1 Au 0.789 0.677 0.745
Au2 Au 0.211 0.323 0.255
Au3 Au 0.534 0.677 0.255
Au4 Au 0.466 0.323 0.745
Zn1 Zn 0.500 0.000 0.000
Zn2 Zn 0.250 0.500 0.500
Zn3 Zn 0.750 0.500 0.500
Zn4 Zn 0.500 0.500 0.000
Zn5 Zn 0.000 0.500 0.000
Na1 Na 0.139 0.000 0.722
Na2 Na 0.861 0.000 0.278


# NaZn3Au5, relaxed, DFT GGA-PBE
# energy of formation	-0.16	eV/atom
# E	-45.9	eV per cell
# D(E_F)	0.35	states/eV/atom
data_NaZn3Au5
_cell_length_a 5.713
_cell_length_b 7.957
_cell_length_c 7.957
_cell_angle_alpha 120.00
_cell_angle_beta 90.00
_cell_angle_gamma 90.00
_symmetry_space_group_name_H-M 'P 1'
_symmetry_Int_Tables_number 1
_symmetry_space_group_name_Hall 'P 1'
loop_
_atom_site_label
_atom_site_type_symbol
_atom_site_fract_x
_atom_site_fract_y
_atom_site_fract_z
Au1 Au 0.250 0.671 0.000
Au2 Au 0.750 0.671 0.671
Au3 Au 0.000 0.333 0.667
Au4 Au 0.000 0.667 0.333
Au5 Au 0.500 0.333 0.667
Au6 Au 0.250 0.000 0.671
Au7 Au 0.750 0.329 0.000
Au8 Au 0.500 0.667 0.333
Au9 Au 0.750 0.000 0.329
Au10 Au 0.250 0.329 0.329
Zn1 Zn 0.250 0.338 0.000
Zn2 Zn 0.250 0.662 0.662
Zn3 Zn 0.750 0.000 0.662
Zn4 Zn 0.250 0.000 0.338
Zn5 Zn 0.750 0.338 0.338
Zn6 Zn 0.750 0.662 0.000
Na1 Na 0.500 0.000 0.000
Na2 Na 0.000 0.000 0.000


# Na2ZrAu2, relaxed, DFT GGA-PBE
# energy of formation	-0.06	eV/atom
# E	-36.1	eV per cell
# D(E_F)	1.14	states/eV/atom
data_Na2ZrAu2
_cell_length_a 7.239
_cell_length_b 7.239
_cell_length_c 4.449
_cell_angle_alpha 90.00
_cell_angle_beta 90.00
_cell_angle_gamma 90.00
_symmetry_space_group_name_H-M 'P 1'
_symmetry_Int_Tables_number 1
_symmetry_space_group_name_Hall 'P 1'
loop_
_atom_site_label
_atom_site_type_symbol
_atom_site_fract_x
_atom_site_fract_y
_atom_site_fract_z
Au1 Au 0.363 0.863 0.000
Au2 Au 0.863 0.637 0.000
Au3 Au 0.637 0.137 0.000
Au4 Au 0.137 0.363 0.000
Zr1 Zr 0.500 0.500 0.000
Zr2 Zr 0.000 0.000 0.000
Na1 Na 0.163 0.663 0.500
Na2 Na 0.337 0.163 0.500
Na3 Na 0.663 0.837 0.500
Na4 Na 0.837 0.337 0.500


# NaZrAu3, relaxed, DFT GGA-PBE
# energy of formation	0.22	eV/atom
# energy above the lowest structure with this stoichiometry	0.0	meV per atom
# E	-18.6	eV per cell
# D(E_F)	0.85	states/eV/atom
data_NaZrAu3
_cell_length_a 5.323
_cell_length_b 5.323
_cell_length_c 5.323
_cell_angle_alpha 90.00
_cell_angle_beta 90.00
_cell_angle_gamma 90.00
_symmetry_space_group_name_H-M 'P 1'
_symmetry_Int_Tables_number 1
_symmetry_space_group_name_Hall 'P 1'
loop_
_atom_site_label
_atom_site_type_symbol
_atom_site_fract_x
_atom_site_fract_y
_atom_site_fract_z
Au1 Au 0.000 0.500 0.000
Au2 Au 0.500 0.000 0.000
Au3 Au 0.000 0.000 0.500
Zr1 Zr 0.000 0.000 0.000
Na1 Na 0.500 0.500 0.500


# NaZr3Au, relaxed, DFT GGA-PBE
# energy of formation	1.37	eV/atom
# energy above the lowest structure with this stoichiometry	675.9	meV per atom
# E	-23.4	eV per cell
# D(E_F)	1.39	states/eV/atom
data_NaZr3Au
_cell_length_a 4.927
_cell_length_b 4.927
_cell_length_c 4.927
_cell_angle_alpha 90.00
_cell_angle_beta 90.00
_cell_angle_gamma 90.00
_symmetry_space_group_name_H-M 'P 1'
_symmetry_Int_Tables_number 1
_symmetry_space_group_name_Hall 'P 1'
loop_
_atom_site_label
_atom_site_type_symbol
_atom_site_fract_x
_atom_site_fract_y
_atom_site_fract_z
Au1 Au 0.500 0.500 0.500
Zr1 Zr 0.000 0.000 0.500
Zr2 Zr 0.500 0.000 0.000
Zr3 Zr 0.000 0.500 0.000
Na1 Na 0.000 0.000 0.000


# NaZr2Au, relaxed, DFT GGA-PBE
# energy of formation	0.16	eV/atom
# energy above the lowest structure with this stoichiometry	0.0	meV per atom
# E	-21.0	eV per cell
# D(E_F)	1.04	states/eV/atom
data_NaZr2Au
_cell_length_a 4.916
_cell_length_b 4.916
_cell_length_c 4.916
_cell_angle_alpha 60.00
_cell_angle_beta 60.00
_cell_angle_gamma 60.00
_symmetry_space_group_name_H-M 'P 1'
_symmetry_Int_Tables_number 1
_symmetry_space_group_name_Hall 'P 1'
loop_
_atom_site_label
_atom_site_type_symbol
_atom_site_fract_x
_atom_site_fract_y
_atom_site_fract_z
Au1 Au 0.500 0.500 0.500
Zr1 Zr 0.750 0.750 0.750
Zr2 Zr 0.250 0.250 0.250
Na1 Na 0.000 0.000 0.000


# Na2ZrAu, relaxed, DFT GGA-PBE
# energy of formation	0.52	eV/atom
# energy above the lowest structure with this stoichiometry	75.3	meV per atom
# E	-12.4	eV per cell
# D(E_F)	0.91	states/eV/atom
data_Na2ZrAu
_cell_length_a 4.946
_cell_length_b 4.946
_cell_length_c 4.946
_cell_angle_alpha 60.00
_cell_angle_beta 60.00
_cell_angle_gamma 60.00
_symmetry_space_group_name_H-M 'P 1'
_symmetry_Int_Tables_number 1
_symmetry_space_group_name_Hall 'P 1'
loop_
_atom_site_label
_atom_site_type_symbol
_atom_site_fract_x
_atom_site_fract_y
_atom_site_fract_z
Au1 Au 0.500 0.500 0.500
Na1 Na 0.250 0.250 0.250
Na2 Na 0.750 0.750 0.750
Zr1 Zr 0.000 0.000 0.000